(1)
First-principles (PBE) data for crystalline YTl2Te at its relaxed geometry, as listed in the Alexandria database.

Structure (CIF):
```
data_YTl2Te
_chemical_formula_sum 'Y3 Tl6 Te3'
_symmetry_space_group_name_H-M 'R 3 m'
_symmetry_Int_Tables_number 160
_symmetry_space_group_name_Hall 'R 3 -2"'
_cell_length_a 4.0840
_cell_length_b 4.0840
_cell_length_c 27.5854
_cell_angle_alpha 90.00
_cell_angle_beta 90.00
_cell_angle_gamma 120.00
loop_
_atom_site_label
_atom_site_fract_x
_atom_site_fract_y
_atom_site_fract_z
_atom_site_occupancy
Y1 0.0000 0.0000 0.0000 1
Tl1 0.0000 0.0000 0.2501 1
Tl2 0.0000 0.0000 0.4945 1
Te1 0.0000 0.0000 0.7338 1
```

Summary:
formation energy (no corrections)	-0.444	eV/atom
energy	-48.35	eV for the cell shown
E above lowest polymorph	9.03	kJ per mole of atoms



(2)
First-principles (PBE) data for crystalline Y2Tl2Te at its relaxed geometry, as listed in the Alexandria database.

Structure (CIF):
```
data_Y2Tl2Te
_chemical_formula_sum 'Y4 Tl4 Te2'
_symmetry_space_group_name_H-M 'P 4/m b m'
_symmetry_Int_Tables_number 127
_symmetry_space_group_name_Hall '-P 4 2ab'
_cell_length_a 8.309
_cell_length_b 8.309
_cell_length_c 4.194
_cell_angle_alpha 90.00
_cell_angle_beta 90.00
_cell_angle_gamma 90.00
loop_
_atom_site_label
_atom_site_fract_x
_atom_site_fract_y
_atom_site_fract_z
_atom_site_occupancy
Y1 0.175 0.325 0.000 1
Tl1 0.129 0.629 0.500 1
Te1 0.000 0.000 0.500 1
```

Summary:
formation energy (no corrections)	-0.375	eV/atom
energy	-45.35	eV for the cell shown
E above lowest polymorph	20.53	kJ per mole of atoms



(3)
First-principles (PBE) data for crystalline YTl2Te at its relaxed geometry, as listed in the Alexandria database.

Structure (CIF):
```
data_YTl2Te
_chemical_formula_sum 'Y2 Tl4 Te2'
_symmetry_space_group_name_H-M 'C m m m'
_symmetry_Int_Tables_number 65
_symmetry_space_group_name_Hall '-C 2 2'
_cell_length_a 3.947
_cell_length_b 5.989
_cell_length_c 10.106
_cell_angle_alpha 90.00
_cell_angle_beta 90.00
_cell_angle_gamma 90.00
loop_
_atom_site_label
_atom_site_fract_x
_atom_site_fract_y
_atom_site_fract_z
_atom_site_occupancy
Y1 0.000 0.000 0.000 1
Tl1 0.000 0.500 0.253 1
Te1 0.000 0.000 0.500 1
```

Summary:
formation energy (no corrections)	-0.002	eV/atom
energy	-28.69	eV for the cell shown
E above lowest polymorph	51.70	kJ per mole of atoms



(4)
First-principles (PBE) data for crystalline YTl2Te at its relaxed geometry, as listed in the Alexandria database.

Structure (CIF):
```
data_YTl2Te
_chemical_formula_sum 'Y1 Tl2 Te1'
_symmetry_space_group_name_H-M 'P m m m'
_symmetry_Int_Tables_number 47
_symmetry_space_group_name_Hall '-P 2 2'
_cell_length_a 4.214
_cell_length_b 4.471
_cell_length_c 6.291
_cell_angle_alpha 90.00
_cell_angle_beta 90.00
_cell_angle_gamma 90.00
loop_
_atom_site_label
_atom_site_fract_x
_atom_site_fract_y
_atom_site_fract_z
_atom_site_occupancy
Y1 0.000 0.000 0.000 1
Tl1 0.500 0.500 0.247 1
Te1 0.000 0.000 0.500 1
```

Summary:
formation energy (no corrections)	-0.292	eV/atom
energy	-15.51	eV for the cell shown
E above lowest polymorph	23.73	kJ per mole of atoms



(5)
First-principles (PBE) data for crystalline YTl2Te at its relaxed geometry, as listed in the Alexandria database.

Structure (CIF):
```
data_YTl2Te
_chemical_formula_sum 'Y4 Tl8 Te4'
_symmetry_space_group_name_H-M 'F m -3 m'
_symmetry_Int_Tables_number 225
_symmetry_space_group_name_Hall '-F 4 2 3'
_cell_length_a 7.820
_cell_length_b 7.820
_cell_length_c 7.820
_cell_angle_alpha 90.00
_cell_angle_beta 90.00
_cell_angle_gamma 90.00
loop_
_atom_site_label
_atom_site_fract_x
_atom_site_fract_y
_atom_site_fract_z
_atom_site_occupancy
Y1 0.000 0.000 0.000 1
Tl1 0.250 0.250 0.250 1
Te1 0.000 0.000 0.500 1
```

Summary:
formation energy (no corrections)	-0.065	eV/atom
energy	-58.40	eV for the cell shown
E above lowest polymorph	45.59	kJ per mole of atoms



(6)
First-principles (PBE) data for crystalline Y3TlTe at its relaxed geometry, as listed in the Alexandria database.

Structure (CIF):
```
data_Y3TlTe
_chemical_formula_sum 'Y12 Tl4 Te4'
_symmetry_space_group_name_H-M 'P n m a'
_symmetry_Int_Tables_number 62
_symmetry_space_group_name_Hall '-P 2ac 2n'
_cell_length_a 12.055
_cell_length_b 3.969
_cell_length_c 12.594
_cell_angle_alpha 90.00
_cell_angle_beta 90.00
_cell_angle_gamma 90.00
loop_
_atom_site_label
_atom_site_fract_x
_atom_site_fract_y
_atom_site_fract_z
_atom_site_occupancy
Y1 0.059 0.250 0.131 1
Y2 0.134 0.750 0.552 1
Y3 0.220 0.250 0.782 1
Tl1 0.020 0.750 0.322 1
Te1 0.175 0.750 0.974 1
```

Summary:
formation energy (no corrections)	-0.663	eV/atom
energy	-112.86	eV for the cell shown
E above lowest polymorph	0.00	kJ per mole of atoms



no.,M_tot (μB per formula unit)
1,0.00
2,0.00
3,0.00
4,0.00
5,0.00
6,0.00